The following is a DFT calculation (PBE) of KAlMo2 after structural relaxation.

Unit cell a=3.504 b=4.159 c=10.404 alpha=90.00 beta=90.00 gamma=90.00
Element x y z (fractional)
K1 0.000 0.000 0.000
K2 0.500 0.500 0.000
Al1 0.000 0.000 0.500
Al2 0.500 0.500 0.500
Mo1 0.000 0.500 0.301
Mo2 0.000 0.500 0.699
Mo3 0.500 0.000 0.301
Mo4 0.500 0.000 0.699

Computed properties:
Total magnetic moment (μB per atom): 0.00
Formation energy from the elements (eV per formula unit): 2.608



The following is a DFT calculation (PBE) of ErTmIrO6 after structural relaxation.

Unit cell a=5.404 b=5.404 c=4.760 alpha=90.00 beta=90.00 gamma=120.00
Element x y z (fractional)
Er1 0.000 0.000 0.000
Tm1 0.667 0.333 0.500
Ir1 0.333 0.667 0.000
O1 0.030 0.371 0.233
O2 0.030 0.659 0.767
O3 0.341 0.371 0.767
O4 0.341 0.970 0.233
O5 0.629 0.659 0.233
O6 0.629 0.970 0.767

Computed properties:
Total magnetic moment (μB per atom): 0.25
DFT total energy (eV per atom): -7.518



The following is a DFT calculation (PBE) of LiCa2Tl after structural relaxation.

Unit cell a=11.885 b=3.886 c=5.541 alpha=90.00 beta=111.94 gamma=90.00
Element x y z (fractional)
Li1 0.000 0.000 0.000
Li2 0.500 0.500 0.000
Ca1 0.226 0.000 0.763
Ca2 0.438 0.000 0.435
Ca3 0.726 0.500 0.763
Ca4 0.938 0.500 0.435
Tl1 0.189 0.500 0.236
Tl2 0.689 0.000 0.236

Computed properties:
Offset from the most stable computed form (meV per atom): 72
Total magnetic moment (μB per atom): 0.00
Formation energy from the elements (eV per formula unit): -0.881



The following is a DFT calculation (PBE) of Li2Cd4Hg5 after structural relaxation.

Unit cell a=7.068 b=18.146 c=3.831 alpha=90.00 beta=90.00 gamma=90.00
Element x y z (fractional)
Li1 0.054 0.204 0.000
Li2 0.446 0.704 0.000
Li3 0.554 0.296 0.000
Li4 0.946 0.796 0.000
Cd1 0.050 0.641 0.000
Cd2 0.184 0.951 0.000
Cd3 0.316 0.451 0.000
Cd4 0.450 0.141 0.000
Cd5 0.550 0.859 0.000
Cd6 0.684 0.549 0.000
Cd7 0.816 0.049 0.000
Cd8 0.950 0.359 0.000
Hg1 0.000 0.500 0.500
Hg2 0.128 0.096 0.500
Hg3 0.244 0.790 0.500
Hg4 0.256 0.290 0.500
Hg5 0.372 0.596 0.500
Hg6 0.500 0.000 0.500
Hg7 0.628 0.404 0.500
Hg8 0.744 0.710 0.500
Hg9 0.756 0.210 0.500
Hg10 0.872 0.904 0.500

Computed properties:
Offset from the most stable computed form (meV per atom): 0
Total magnetic moment (μB per atom): 0.00
Formation energy from the elements (eV per formula unit): -1.215



The following is a DFT calculation (PBE) of EuZnIn after structural relaxation.

Unit cell a=6.902 b=6.902 c=6.902 alpha=90.00 beta=90.00 gamma=90.00
Element x y z (fractional)
Eu1 0.000 0.000 0.000
Eu2 0.000 0.500 0.500
Eu3 0.500 0.000 0.500
Eu4 0.500 0.500 0.000
Zn1 0.250 0.250 0.250
Zn2 0.250 0.750 0.750
Zn3 0.750 0.250 0.750
Zn4 0.750 0.750 0.250
In1 0.000 0.000 0.500
In2 0.000 0.500 0.000
In3 0.500 0.000 0.000
In4 0.500 0.500 0.500

Computed properties:
Total magnetic moment (μB per atom): 2.32
Formation energy from the elements (eV per formula unit): -0.789



The following is a DFT calculation (PBE) of TePbNF2 after structural relaxation.

Unit cell a=4.482 b=4.482 c=4.658 alpha=90.00 beta=90.00 gamma=90.00
Element x y z (fractional)
Te1 0.000 0.000 0.000
Pb1 0.500 0.500 0.500
N1 0.500 0.500 0.000
F1 0.000 0.500 0.500
F2 0.500 0.000 0.500

Computed properties:
Offset from the most stable computed form (meV per atom): 260
Total magnetic moment (μB per atom): 0.20